Mn2InO6: optimized geometry, PBE with a Hubbard U.

Unit cell a=5.3451 b=5.3451 c=4.5548 alpha=90.00 beta=90.00 gamma=120.00
Last column: nearest neighbours and their distance in Å.
Element x y z (fractional)
Mn: 0.3333 0.6667 0.0000  6 O 1.97
Mn: 0.6667 0.3333 0.0000  6 O 1.97
In: 0.0000 0.0000 0.0000  6 O 2.17
O: 0.0000 0.3636 0.2140  2 Mn 1.97, 1 In 2.17
O: 0.0000 0.6364 0.7860  2 Mn 1.97, 1 In 2.17
O: 0.3636 0.0000 0.2140  2 Mn 1.97, 1 In 2.17
O: 0.3636 0.3636 0.7860  2 Mn 1.97, 1 In 2.17
O: 0.6364 0.0000 0.7860  2 Mn 1.97, 1 In 2.17
O: 0.6364 0.6364 0.2140  2 Mn 1.97, 1 In 2.17

The calculated total energy is -6.37 eV/atom.